KTcAs2C GGA-PBE relaxed; space-group type = No. 123
1.0
4.689 0.000 0.000
0.000 4.689 0.000
0.000 0.000 6.619
K Tc As C
1 1 2 1
Direct
0.000 0.000 0.000
0.000 0.000 0.500
0.000 0.500 0.500
0.500 0.000 0.500
0.500 0.500 0.000

***

La4AsC GGA-PBE relaxed; space-group type = No. 15
1.0
4.200 -7.310 0.000
4.200 7.310 0.000
-3.730 0.000 5.601
La As C
8 2 2
Direct
0.063 0.657 0.829
0.182 0.279 0.720
0.279 0.182 0.220
0.343 0.937 0.671
0.657 0.063 0.329
0.721 0.818 0.780
0.818 0.721 0.280
0.937 0.343 0.171
0.382 0.618 0.250
0.618 0.382 0.750
0.063 0.937 0.750
0.937 0.063 0.250

***

La5As2C GGA-PBE relaxed; space-group type = No. 63
1.0
2.975 -6.555 0.000
2.975 6.555 0.000
0.000 0.000 13.197
La As C
10 4 2
Direct
0.055 0.945 0.621
0.055 0.945 0.879
0.313 0.687 0.250
0.331 0.669 0.600
0.331 0.669 0.900
0.669 0.331 0.100
0.669 0.331 0.400
0.687 0.313 0.750
0.945 0.055 0.121
0.945 0.055 0.379
0.176 0.824 0.074
0.176 0.824 0.426
0.824 0.176 0.574
0.824 0.176 0.926
0.196 0.804 0.750
0.804 0.196 0.250

***

La6As2C GGA-PBE relaxed; space-group type = No. 14
1.0
6.534 0.000 0.000
0.000 8.057 0.000
-6.241 0.000 9.867
La As C
12 4 2
Direct
0.118 0.168 0.455
0.118 0.332 0.955
0.311 0.707 0.450
0.311 0.793 0.950
0.375 0.032 0.250
0.375 0.468 0.750
0.625 0.532 0.250
0.625 0.968 0.750
0.689 0.207 0.050
0.689 0.293 0.550
0.882 0.668 0.045
0.882 0.832 0.545
0.181 0.113 0.754
0.181 0.387 0.254
0.819 0.613 0.746
0.819 0.887 0.246
0.500 0.000 0.500
0.500 0.500 0.000

***

LaAsC GGA-PBE relaxed; space-group type = No. 12
1.0
3.414 -2.637 0.000
3.414 2.637 0.000
-1.175 0.000 7.557
La As C
2 2 2
Direct
0.204 0.204 0.200
0.796 0.796 0.800
0.238 0.762 0.500
0.762 0.238 0.500
0.377 0.623 0.000
0.623 0.377 0.000

***

La12As3C5 GGA-PBE relaxed; space-group type = No. 230
1.0
-8.199 8.199 8.199
8.199 -8.199 8.199
8.199 8.199 -8.199
La As C
48 12 20
Direct
0.026 0.206 0.120
0.026 0.319 0.906
0.086 0.706 0.681
0.086 0.880 0.406
0.094 0.620 0.414
0.094 0.974 0.681
0.120 0.026 0.206
0.120 0.594 0.914
0.181 0.206 0.586
0.181 0.474 0.594
0.206 0.120 0.026
0.206 0.586 0.181
0.294 0.319 0.914
0.294 0.474 0.380
0.319 0.906 0.026
0.319 0.914 0.294
0.380 0.294 0.474
0.380 0.586 0.906
0.406 0.086 0.880
0.406 0.819 0.526
0.414 0.094 0.620
0.414 0.819 0.794
0.474 0.380 0.294
0.474 0.594 0.181
0.526 0.406 0.819
0.526 0.620 0.706
0.586 0.181 0.206
0.586 0.906 0.380
0.594 0.181 0.474
0.594 0.914 0.120
0.620 0.414 0.094
0.620 0.706 0.526
0.681 0.086 0.706
0.681 0.094 0.974
0.706 0.526 0.620
0.706 0.681 0.086
0.794 0.414 0.819
0.794 0.880 0.974
0.819 0.526 0.406
0.819 0.794 0.414
0.880 0.406 0.086
0.880 0.974 0.794
0.906 0.026 0.319
0.906 0.380 0.586
0.914 0.120 0.594
0.914 0.294 0.319
0.974 0.681 0.094
0.974 0.794 0.880
0.125 0.250 0.375
0.125 0.375 0.750
0.250 0.375 0.125
0.250 0.875 0.625
0.375 0.125 0.250
0.375 0.750 0.125
0.625 0.250 0.875
0.625 0.875 0.750
0.750 0.125 0.375
0.750 0.625 0.875
0.875 0.625 0.250
0.875 0.750 0.625
0.000 0.000 0.000
0.000 0.000 0.500
0.000 0.500 0.000
0.000 0.500 0.500
0.125 0.750 0.875
0.125 0.875 0.250
0.250 0.125 0.875
0.250 0.625 0.375
0.375 0.250 0.625
0.375 0.625 0.750
0.500 0.000 0.000
0.500 0.000 0.500
0.500 0.500 0.000
0.500 0.500 0.500
0.625 0.375 0.250
0.625 0.750 0.375
0.750 0.375 0.625
0.750 0.875 0.125
0.875 0.125 0.750
0.875 0.250 0.125

***

La2NiAsC GGA-PBE relaxed; space-group type = No. 123
1.0
5.320 0.000 0.000
0.000 5.320 0.000
0.000 0.000 3.707
La Ni As C
2 1 1 1
Direct
0.000 0.500 0.000
0.500 0.000 0.000
0.000 0.000 0.500
0.500 0.500 0.500
0.000 0.000 0.000

***

LaReAsC2 GGA-PBE relaxed; space-group type = No. 123
1.0
4.250 0.000 0.000
0.000 4.250 0.000
0.000 0.000 4.711
La Re As C
1 1 1 2
Direct
0.000 0.000 0.000
0.500 0.500 0.000
0.500 0.500 0.500
0.000 0.500 0.500
0.500 0.000 0.500

***

LaAsRh2C GGA-PBE relaxed; space-group type = No. 123
1.0
4.111 0.000 0.000
0.000 4.111 0.000
0.000 0.000 5.299
La As Rh C
1 1 2 1
Direct
0.000 0.000 0.000
0.500 0.500 0.000
0.000 0.500 0.500
0.500 0.000 0.500
0.000 0.000 0.500

***

La2AsRuC GGA-PBE relaxed; space-group type = No. 123
1.0
5.301 0.000 0.000
0.000 5.301 0.000
0.000 0.000 3.929
La As Ru C
2 1 1 1
Direct
0.000 0.500 0.000
0.500 0.000 0.000
0.000 0.000 0.500
0.500 0.500 0.500
0.500 0.500 0.000

***

LaScAs2C GGA-PBE relaxed; space-group type = No. 123
1.0
5.524 0.000 0.000
0.000 5.524 0.000
0.000 0.000 4.443
La Sc As C
1 1 2 1
Direct
0.000 0.000 0.000
0.500 0.500 0.500
0.000 0.500 0.000
0.500 0.000 0.000
0.000 0.000 0.500

***

LaSn2AsC GGA-PBE relaxed; space-group type = No. 123
1.0
6.234 0.000 0.000
0.000 6.234 0.000
0.000 0.000 5.520
La Sn As C
1 2 1 1
Direct
0.000 0.000 0.000
0.000 0.500 0.000
0.500 0.000 0.000
0.000 0.000 0.500
0.500 0.500 0.500

***

| no. | DOS at the Fermi energy (states/eV per atom) | formation enthalpy at 0 K (eV per atom) |
| --- | --- | --- |
| 1 | 0.826 | 1.47 |
| 2 | 0.848 | -0.50 |
| 3 | 0.786 | -0.63 |
| 4 | 1.175 | -0.71 |
| 5 | 0.383 | -0.45 |
| 6 | 0.683 | -0.42 |
| 7 | 0.465 | -0.66 |
| 8 | 1.147 | 1.78 |
| 9 | 0.569 | -0.21 |
| 10 | 0.737 | -0.56 |
| 11 | 1.448 | 0.94 |
| 12 | 0.947 | 1.93 |